No. 1
Crystalline LiScUN3 at its relaxed geometry, computed with PBE-GGA.

It has space group P2_1/m (No. 11), with a = 6.628 Å, b = 3.190 Å, c = 6.940 Å, α = 90.00°, β = 103.14° and γ = 90.00°. The inequivalent atoms are Li at (0.093, 0.250, 0.091), Sc at (0.327, 0.750, 0.346), U at (0.283, 0.750, 0.809), N at (0.031, 0.250, 0.803), N at (0.336, 0.250, 0.577) and N at (0.384, 0.250, 0.124).

The value obtained for the formation energy (no corrections) is -1176.6 meV/atom. The total magnetization is 1.5 μB per cell. Its total DFT energy (no corrections) is -103.138 eV per cell. The crystal system is monoclinic.

No. 2
Crystalline VTeAsN2 at its relaxed geometry, computed with PBE-GGA.

It has space group P4/mmm (No. 123), with a = 3.892 Å, b = 3.892 Å, c = 6.029 Å, α = 90.00°, β = 90.00° and γ = 90.00°. The inequivalent atoms are V at (0.000, 0.000, 0.000), Te at (0.000, 0.000, 0.500), As at (0.500, 0.500, 0.000) and N at (0.000, 0.500, 0.500).

The value obtained for the formation energy (no corrections) is 1606.4 meV/atom. The calculation puts the relative energy among the computed polymorphs at 1006.1 meV/atom. The total magnetization is 2.0 μB per cell. Its total DFT energy (no corrections) is -25.528 eV per cell. The crystal system is tetragonal.

No. 3
Crystalline PmYPa at its relaxed geometry, computed with PBE-GGA.

It has space group P-6m2 (No. 187), with a = 5.5253 Å, b = 5.5253 Å, c = 3.3899 Å, α = 90.00°, β = 90.00° and γ = 120.00°. The inequivalent atoms are Pm at (0.0000, 0.0000, 0.0000), Y at (0.6667, 0.3333, 0.5000) and Pa at (0.3333, 0.6667, 0.0000).

Its energy of formation is 27 kJ per mole of atoms. The calculation puts the relative energy among the computed polymorphs at 107.0 meV/atom. The total magnetization is 0.0 μB per cell. Its total DFT energy (no corrections) is -19.865 eV per cell. The crystal system is hexagonal.

No. 4
Crystalline Y2GaCoH at its relaxed geometry, computed with PBE-GGA.

It has space group P4/mmm (No. 123), with a = 4.928 Å, b = 4.928 Å, c = 3.521 Å, α = 90.00°, β = 90.00° and γ = 90.00°. The inequivalent atoms are Y at (0.000, 0.500, 0.000), Ga at (0.000, 0.000, 0.500), Co at (0.500, 0.500, 0.500) and H at (0.500, 0.500, 0.000).

The total magnetization is 0.4 μB per cell. Its total DFT energy (no corrections) is -28.532 eV per cell. The crystal system is tetragonal.

No. 5
Crystalline Cs2HoMgF6 at its relaxed geometry, computed with PBE-GGA.

It has space group Immm (No. 71), with a = 6.079 Å, b = 6.618 Å, c = 8.726 Å, α = 90.00°, β = 90.00° and γ = 90.00°. The inequivalent atoms are Cs at (0.000, 0.000, 0.243), Ho at (0.000, 0.500, 0.500), Mg at (0.000, 0.500, 0.000), F at (0.000, 0.500, 0.244) and F at (0.249, 0.215, 0.500).

The value obtained for the formation energy (no corrections) is -3093.2 meV/atom. The total magnetization is 1.9 μB per cell. Its total DFT energy (no corrections) is -100.079 eV per cell. The crystal system is orthorhombic.

No. 6
Crystalline Sm2DyY6Sc3 at its relaxed geometry, computed with PBE-GGA.

It has space group C2/m (No. 12), with a = 6.092 Å, b = 10.547 Å, c = 11.545 Å, α = 90.00°, β = 100.11° and γ = 90.00°. The inequivalent atoms are Sm at (0.000, 0.167, 0.000), Dy at (0.000, 0.500, 0.000), Y at (0.246, 0.500, 0.740), Y at (0.247, 0.167, 0.740), Sc at (0.000, 0.000, 0.500) and Sc at (0.000, 0.334, 0.500).

Its energy of formation is 5 kJ per mole of atoms. The total magnetization is 0.0 μB per cell. Its total DFT energy (no corrections) is -142.406 eV per cell. The crystal system is monoclinic.

No. 7
Crystalline DyCoGeH at its relaxed geometry, computed with PBE-GGA.

It has space group P4/nmm (No. 129, origin choice 2), with a = 3.904 Å, b = 3.904 Å, c = 7.335 Å, α = 90.00°, β = 90.00° and γ = 90.00°. The inequivalent atoms are Dy at (0.250, 0.250, 0.163), Co at (0.250, 0.750, 0.500), Ge at (0.250, 0.250, 0.678) and H at (0.250, 0.750, 0.000).

The total magnetization is 0.0 μB per cell. Its total DFT energy (no corrections) is -44.797 eV per cell. The crystal system is tetragonal.

No. 8
Crystalline CeNdAgSb at its relaxed geometry, computed with PBE-GGA.

It has space group F-43m (No. 216), with a = 7.614 Å, b = 7.614 Å, c = 7.614 Å, α = 90.00°, β = 90.00° and γ = 90.00°. The inequivalent atoms are Ce at (0.000, 0.000, 0.000), Nd at (0.000, 0.000, 0.500), Ag at (0.250, 0.250, 0.250) and Sb at (0.250, 0.250, 0.750).

The value obtained for the formation energy (no corrections) is -532.1 meV/atom. The total magnetization is 7.9 μB per cell. Its total DFT energy (no corrections) is -79.216 eV per cell. The crystal system is cubic.